No. 1
# Tb7CoBr12

A relaxed structure of Tb7CoBr12 (GGA-PBE, Alexandria via LeMat-Bulk).

Computed properties:
V ... 663 Å³/cell
Uncorrected formation energy ... -1.58 eV per atom
Symmetry ... R-3, No. 148
Total magnetic moment ... 0.000 μB per formula unit

a b c (Å): 9.2368 9.2368 9.2368
angles (deg): 106.60 106.60 106.60
With the nearest neighbours (Å) after each atom.
Fractional coordinates of all 20 atoms:
Br 0.5385 0.8328 0.6174  3 Tb 2.83-3.05
Br 0.0704 0.6759 0.2199  3 Tb 2.90-3.17
Br 0.4615 0.1672 0.3826  3 Tb 2.83-3.05
Br 0.7801 0.9296 0.3241  3 Tb 2.90-3.17
Br 0.8328 0.6174 0.5385  3 Tb 2.83-3.05
Br 0.3826 0.4615 0.1672  3 Tb 2.83-3.05
Br 0.6759 0.2199 0.0704  3 Tb 2.90-3.17
Br 0.1672 0.3826 0.4615  3 Tb 2.83-3.05
Br 0.2199 0.0704 0.6759  3 Tb 2.90-3.17
Br 0.9296 0.3241 0.7801  3 Tb 2.90-3.17
Br 0.3241 0.7801 0.9296  3 Tb 2.90-3.17
Br 0.6174 0.5385 0.8328  3 Tb 2.83-3.05
Co 0.0000 0.0000 0.0000  6 Tb 2.60
Tb 0.9812 0.6995 0.9021  1 Co 2.60, 1 Br 2.90
Tb 0.0188 0.3005 0.0979  1 Co 2.60, 1 Br 2.90
Tb 0.5000 0.5000 0.5000  6 Br 2.83
Tb 0.0979 0.0188 0.3005  1 Co 2.60, 1 Br 2.90
Tb 0.9021 0.9812 0.6995  1 Co 2.60, 1 Br 2.90
Tb 0.6995 0.9021 0.9812  1 Co 2.60, 1 Br 2.90
Tb 0.3005 0.0979 0.0188  1 Co 2.60, 1 Br 2.90

=====

No. 2
# TaBe2Cd

A relaxed structure of TaBe2Cd (GGA-PBE, Alexandria via LeMat-Bulk).

Computed properties:
V ... 55 Å³/cell
Formation enthalpy at 0 K ... 0.92 eV per formula unit
Symmetry ... P4/mmm, No. 123
Total magnetic moment ... 0.000 μB per formula unit

a b c (Å): 4.1035 4.1035 3.2914
angles (deg): 90.00 90.00 89.98
With the nearest neighbours (Å) after each atom.
Fractional coordinates of all 4 atoms:
Be 0.0000 0.0000 0.0000  4 Cd 2.63, 4 Ta 2.63, 4 Be 2.90
Be 0.5000 0.5000 0.0000  4 Ta 2.63, 4 Cd 2.63, 4 Be 2.90
Cd 0.5000 0.0000 0.5000  8 Be 2.63, 4 Ta 2.90
Ta 0.0000 0.5000 0.5000  8 Be 2.63, 4 Cd 2.90

=====

No. 3
# MnCoPt2

A relaxed structure of MnCoPt2 (GGA-PBE, Alexandria via LeMat-Bulk).

Computed properties:
V ... 56 Å³/cell
Formation enthalpy at 0 K ... -0.91 eV per formula unit
Symmetry ... Cmmm, No. 65
Total magnetic moment ... 6.101 μB per formula unit

a b c (Å): 4.6397 6.1318 2.7538
angles (deg): 63.24 90.04 121.82
With the nearest neighbours (Å) after each atom.
Fractional coordinates of all 4 atoms:
Pt 0.0000 0.0000 0.0000  4 Co 2.70, 4 Mn 2.70, 4 Pt 2.74-2.75
Pt 0.0000 0.5000 0.5000  4 Mn 2.70, 4 Co 2.70, 4 Pt 2.74-2.75
Co 0.5000 0.5000 0.0000  8 Pt 2.70, 2 Mn 2.74, 2 Co 2.75
Mn 0.5000 0.0000 0.5000  8 Pt 2.70, 2 Co 2.74, 2 Mn 2.75

=====

No. 4
# KTaRu

A relaxed structure of KTaRu (GGA-PBE, Alexandria via LeMat-Bulk).

Computed properties:
V ... 67 Å³/cell
Formation enthalpy at 0 K ... 4.30 eV per formula unit
Symmetry ... F-43m, No. 216
Total magnetic moment ... 0.000 μB per formula unit

a b c (Å): 4.5686 4.5686 4.5686
angles (deg): 60.00 60.00 60.00
With the nearest neighbours (Å) after each atom.
Fractional coordinates of all 3 atoms:
Ru 0.7500 0.7500 0.7500  4 Ta 2.80, 4 K 2.80
Ta 0.0000 0.0000 0.0000  4 Ru 2.80
K 0.5000 0.5000 0.5000  4 Ru 2.80

=====

No. 5
# Ac2GePt5

A relaxed structure of Ac2GePt5 (GGA-PBE, Alexandria via LeMat-Bulk).

Computed properties:
V ... 186 Å³/cell
Formation enthalpy at 0 K ... -7.27 eV per formula unit
Symmetry ... I4mm, No. 107
Total magnetic moment ... 0.000 μB per formula unit

a b c (Å): 6.2407 6.2407 6.5091
angles (deg): 118.65 118.65 90.00
With the nearest neighbours (Å) after each atom.
Fractional coordinates of all 8 atoms:
Pt 0.7411 0.2885 0.0296  1 Ge 2.46, 1 Pt 2.75
Pt 0.7126 0.7126 0.4253  1 Ge 2.44
Pt 0.2885 0.7411 0.0296  1 Ge 2.46
Pt 0.7411 0.7411 0.0296  1 Ge 2.46, 1 Pt 2.75
Pt 0.2885 0.2885 0.0296  1 Ge 2.46
Ge 0.9676 0.9676 0.9353  5 Pt 2.44-2.46
Ac 0.7687 0.2687 0.5375  10 Pt 3.17-3.29
Ac 0.2687 0.7687 0.5375  10 Pt 3.17-3.29

=====

No. 6
# BeTlTeN2

A relaxed structure of BeTlTeN2 (GGA-PBE, Alexandria via LeMat-Bulk).

Computed properties:
V ... 118 Å³/cell
Uncorrected formation energy ... 2.02 eV per atom
Symmetry ... P4/mmm, No. 123
Total magnetic moment ... 2.997 μB per formula unit

a b c (Å): 4.2078 4.2078 6.6606
angles (deg): 90.00 90.00 90.00
With the nearest neighbours (Å) after each atom.
Fractional coordinates of all 5 atoms:
Tl 0.0000 0.0000 0.0000  4 N 2.10
Be 0.5000 0.5000 0.5000  4 Te 2.98
N 0.0000 0.5000 0.0000  2 Tl 2.10
N 0.5000 0.0000 0.0000  2 Tl 2.10
Te 0.0000 0.0000 0.5000  4 Be 2.98, 2 Tl 3.33

=====

No. 7
# CdCuSnBi2

A relaxed structure of CdCuSnBi2 (GGA-PBE, Alexandria via LeMat-Bulk).

Computed properties:
V ... 143 Å³/cell
Formation enthalpy at 0 K ... 1.47 eV per formula unit
Symmetry ... P4/mmm, No. 123
Total magnetic moment ... 0.000 μB per formula unit

a b c (Å): 5.3618 4.9631 5.3618
angles (deg): 90.00 90.00 90.00
With the nearest neighbours (Å) after each atom.
Fractional coordinates of all 5 atoms:
Cu 0.0000 0.0000 0.0000  2 Cd 2.48, 4 Bi 2.68
Bi 0.0000 0.0000 0.5000  2 Cu 2.68
Bi 0.5000 0.0000 0.0000  2 Cu 2.68
Cd 0.0000 0.5000 0.0000  2 Cu 2.48
Sn 0.5000 0.5000 0.5000  8 Bi 3.65, 4 Cd 3.79

=====

No. 8
# NbOsRh2

A relaxed structure of NbOsRh2 (GGA-PBE, Alexandria via LeMat-Bulk).

Computed properties:
V ... 120 Å³/cell
Formation enthalpy at 0 K ... -1.42 eV per formula unit
Symmetry ... Cmcm, No. 63
Total magnetic moment ... 0.000 μB per formula unit

a b c (Å): 4.4609 5.5865 5.5369
angles (deg): 119.70 90.00 90.00
With the nearest neighbours (Å) after each atom.
Fractional coordinates of all 8 atoms:
Nb 0.2500 0.3363 0.1681  4 Os 2.76-2.77, 8 Rh 2.77-2.82
Nb 0.7500 0.6637 0.8319  4 Os 2.76-2.77, 8 Rh 2.77-2.82
Rh 0.2500 0.8338 0.6610  4 Rh 2.70-2.83, 4 Os 2.72-2.84, 4 Nb 2.77-2.82
Rh 0.7500 0.1662 0.3390  4 Rh 2.70-2.83, 4 Os 2.72-2.84, 4 Nb 2.77-2.82
Rh 0.7500 0.1662 0.8271  4 Rh 2.70-2.83, 4 Os 2.72-2.84, 4 Nb 2.77-2.82
Rh 0.2500 0.8338 0.1729  4 Rh 2.70-2.83, 4 Os 2.72-2.84, 4 Nb 2.77-2.82
Os 0.7500 0.6727 0.3364  8 Rh 2.72-2.84, 4 Nb 2.76-2.77
Os 0.2500 0.3273 0.6636  8 Rh 2.72-2.84, 4 Nb 2.76-2.77

=====

No. 9
# BaAcSb2Pd5

A relaxed structure of BaAcSb2Pd5 (GGA-PBE, Alexandria via LeMat-Bulk).

Computed properties:
V ... 213 Å³/cell
Uncorrected formation energy ... -0.65 eV per atom
Symmetry ... P4/mmm, No. 123
Total magnetic moment ... 0.000 μB per formula unit

a b c (Å): 4.9472 4.9472 8.7081
angles (deg): 90.00 90.00 90.00
With the nearest neighbours (Å) after each atom.
Fractional coordinates of all 9 atoms:
Pd 0.5000 0.0000 0.7314  2 Sb 2.60
Pd 0.5000 0.5000 0.5000  2 Sb 2.82
Pd 0.0000 0.5000 0.7314  2 Sb 2.60
Pd 0.5000 0.0000 0.2686  2 Sb 2.60
Pd 0.0000 0.5000 0.2686  2 Sb 2.60
Sb 0.5000 0.5000 0.1767  5 Pd 2.60-2.82
Sb 0.5000 0.5000 0.8233  5 Pd 2.60-2.82
Ac 0.0000 0.0000 0.0000  8 Pd 3.40
Ba 0.0000 0.0000 0.5000  12 Pd 3.19-3.50

=====

No. 10
# NaReW

A relaxed structure of NaReW (GGA-PBE, Alexandria via LeMat-Bulk).

Computed properties:
V ... 109 Å³/cell
Formation enthalpy at 0 K ... 1.32 eV per formula unit
Symmetry ... P1, No. 1
Total magnetic moment ... 0.000 μB per formula unit

a b c (Å): 2.7952 2.7953 15.3797
angles (deg): 85.45 85.28 66.21
With the nearest neighbours (Å) after each atom.
Fractional coordinates of all 6 atoms:
Re 0.8098 0.5041 0.0736  7 Re 2.63-2.80, 2 W 2.72
Re 0.4163 0.1144 0.2082  7 Re 2.63-2.80
Na 0.9211 0.6211 0.3862  6 Na 2.80-3.05
Na 0.4624 0.1422 0.5994  6 Na 2.80-3.05
W 0.9176 0.6032 0.7830  6 W 2.68-2.80
W 0.3660 0.0559 0.9266  6 W 2.68-2.80, 2 Re 2.72

=====

No. 11
# KLi2LaB

A relaxed structure of KLi2LaB (GGA-PBE, Alexandria via LeMat-Bulk).

Computed properties:
V ... 123 Å³/cell
Formation enthalpy at 0 K ... 4.17 eV per formula unit
Symmetry ... P4/mmm, No. 123
Total magnetic moment ... 0.000 μB per formula unit

a b c (Å): 4.7271 5.5004 4.7271
angles (deg): 90.00 90.00 90.00
With the nearest neighbours (Å) after each atom.
Fractional coordinates of all 5 atoms:
K 0.0000 0.5000 0.0000  2 B 2.75
Li 0.5000 0.0000 0.0000  2 B 2.36
Li 0.0000 0.0000 0.5000  2 B 2.36
B 0.0000 0.0000 0.0000  4 Li 2.36
La 0.5000 0.5000 0.5000  4 K 3.34, 8 Li 3.63

=====

No. 12
# CuP2Pb

A relaxed structure of CuP2Pb (GGA-PBE, Alexandria via LeMat-Bulk).

Computed properties:
V ... 84 Å³/cell
Formation enthalpy at 0 K ... 0.93 eV per formula unit
Symmetry ... Pm, No. 6
Total magnetic moment ... 0.000 μB per formula unit

a b c (Å): 4.1391 4.3004 4.7618
angles (deg): 82.94 90.00 90.00
With the nearest neighbours (Å) after each atom.
Fractional coordinates of all 4 atoms:
Pb 0.0000 0.5321 0.5287  2 P 2.82-3.10, 2 Cu 2.95
P 0.5000 0.2186 0.1016  2 Cu 2.28-2.38, 2 P 2.38
P 0.0000 0.0175 0.9582  2 P 2.38, 2 Cu 2.43
Cu 0.5000 0.7319 0.9115  4 P 2.28-2.43

=====

What is the formula in the third record? MnCoPt2

=====

What is the total magnetic moment in the fifth record? 0.000 μB per formula unit